# 1
Cr3CdO | GGA+U | relaxed

Size of the total moment ... 12.21 μB per formula unit
Final energy ... -0.2159 Ha/atom

Cell lengths 4.341, 4.341, 4.341 Å; angles 90.00, 90.00, 90.00 degrees
Each line ends with the local moment (μB).
Fractional positions:
O 0.000 0.000 0.000  -0.14
Cr 0.000 0.500 0.000  3.94
Cd 0.500 0.500 0.500  -0.10
Cr 0.000 0.000 0.500  4.09
Cr 0.500 0.000 0.000  3.85

=====

# 2
Cr2Cd2O | GGA+U | relaxed

Size of the total moment ... 8.31 μB per formula unit
Final energy ... -0.1685 Ha/atom

Cell lengths 5.779, 5.779, 5.726 Å; angles 90.00, 90.00, 90.00 degrees
Each line ends with the local moment (μB).
Fractional positions:
Cd 0.826 0.326 0.500  -0.01
Cr 0.710 0.210 0.000  3.92
Cr 0.210 0.290 0.000  3.91
Cd 0.326 0.174 0.500  -0.01
Cd 0.174 0.674 0.500  -0.01
Cd 0.674 0.826 0.500  -0.01
Cr 0.790 0.710 0.000  3.91
O 0.000 0.000 0.000  -0.06
O 0.500 0.500 0.000  -0.06
Cr 0.290 0.790 0.000  3.92

=====

# 3
CrCd2OsO6 | GGA+U | relaxed

Size of the total moment ... 5.96 μB per formula unit
Final energy ... -0.2285 Ha/atom

Cell lengths 5.430, 5.520, 7.767 Å; angles 90.00, 89.95, 90.00 degrees
Each line ends with the local moment (μB).
Fractional positions:
Os 0.500 0.000 0.500  1.95
Cd 0.490 0.456 0.250  0.03
O 0.695 0.294 0.555  0.10
Cd 0.990 0.044 0.750  0.03
Cd 0.010 0.956 0.250  0.03
Cd 0.510 0.544 0.750  0.03
O 0.601 0.039 0.254  0.08
O 0.704 0.302 0.948  0.10
Cr 0.000 0.500 0.500  3.04
O 0.204 0.198 0.448  0.10
Os 0.000 0.500 0.000  1.95
O 0.296 0.698 0.052  0.10
O 0.195 0.206 0.055  0.10
O 0.399 0.961 0.746  0.08
Cr 0.500 0.000 0.000  3.04
O 0.305 0.706 0.445  0.10
O 0.805 0.794 0.945  0.10
O 0.899 0.539 0.246  0.08
O 0.101 0.461 0.754  0.08
O 0.796 0.802 0.552  0.10

=====

# 4
CrCdP2O8 | GGA+U | relaxed

Size of the total moment ... 1.96 μB per formula unit
Final energy ... -0.2422 Ha/atom

Cell lengths 5.615, 5.615, 5.615 Å; angles 106.07, 106.07, 116.52 degrees
Each line ends with the local moment (μB).
Fractional positions:
Cd 0.000 0.000 0.000  -0.03
O 0.745 0.075 0.670  -0.16
O 0.925 0.255 0.330  -0.16
O 0.404 0.075 0.330  -0.16
O 0.925 0.596 0.670  -0.16
O 0.340 0.524 0.184  -0.09
O 0.340 0.155 0.816  -0.09
P 0.500 0.500 0.000  0.01
P 0.750 0.250 0.500  0.02
O 0.845 0.660 0.184  -0.09
O 0.476 0.660 0.816  -0.09
Cr 0.250 0.750 0.500  2.98

=====

# 5
CrCdP2O | GGA+U | relaxed

Size of the total moment ... 0.03 μB per formula unit
Final energy ... -0.1252 Ha/atom

Cell lengths 4.961, 4.961, 4.013 Å; angles 90.00, 90.00, 90.00 degrees
Each line ends with the local moment (μB).
Fractional positions:
O 0.000 0.000 0.500  -0.24
P 0.000 0.500 0.000  -0.06
Cd 0.000 0.000 0.000  -0.01
P 0.500 0.000 0.000  -0.06
Cr 0.500 0.500 0.500  0.55

=====

# 6
Cr2CdPO6 | GGA+U | relaxed

Size of the total moment ... 7.00 μB per formula unit
Final energy ... -0.2383 Ha/atom

Cell lengths 5.105, 5.129, 5.129 Å; angles 90.00, 90.00, 90.00 degrees
Each line ends with the local moment (μB).
Fractional positions:
O 0.750 0.222 0.222  -0.08
O 0.341 0.000 0.000  -0.01
Cd 0.505 0.500 0.500  0.01
Cr 0.929 0.500 0.000  3.55
Cr 0.929 0.000 0.500  3.55
P 0.638 0.000 0.000  0.02
O 0.750 0.778 0.222  -0.08
O 0.750 0.222 0.778  -0.08
O 0.103 0.500 0.500  -0.13
O 0.750 0.778 0.778  -0.08

=====

# 7
CrCdP2O | GGA+U | relaxed

Size of the total moment ... 1.85 μB per formula unit
Final energy ... -0.1754 Ha/atom

Cell lengths 4.989, 4.989, 3.522 Å; angles 90.00, 90.00, 90.00 degrees
Each line ends with the local moment (μB).
Fractional positions:
P 0.000 0.500 0.000  -0.16
Cd 0.500 0.500 0.500  0.01
P 0.500 0.000 0.000  -0.16
O 0.000 0.000 0.500  -0.33
Cr 0.000 0.000 0.000  2.67

=====

# 8
CrCd2PO6 | GGA+U | relaxed

Size of the total moment ... 3.02 μB per formula unit
Final energy ... -0.2160 Ha/atom

Cell lengths 4.512, 5.036, 5.036 Å; angles 90.00, 90.00, 90.00 degrees
Each line ends with the local moment (μB).
Fractional positions:
O 0.171 0.500 0.500  -0.02
O 0.687 0.227 0.773  0.00
Cr 0.602 0.500 0.500  2.92
P 0.590 0.000 0.000  0.01
Cd 0.048 0.000 0.500  0.01
Cd 0.048 0.500 0.000  0.01
O 0.687 0.227 0.227  0.00
O 0.687 0.773 0.227  0.00
O 0.687 0.773 0.773  0.00
O 0.240 0.000 0.000  0.01

=====

# 9
PaCrCd4O8 | GGA+U | relaxed

Size of the total moment ... 2.94 μB per formula unit
Final energy ... -0.2195 Ha/atom

Cell lengths 6.514, 6.514, 6.738 Å; angles 61.10, 61.10, 60.00 degrees
Each line ends with the local moment (μB).
Fractional positions:
O 0.232 0.232 0.781  -0.01
O 0.218 0.784 0.214  -0.04
O 0.784 0.784 0.214  -0.04
Cd 0.996 0.996 0.496  0.01
O 0.232 0.756 0.781  -0.01
Cd 0.632 0.632 0.105  0.00
Cd 0.512 0.996 0.496  0.01
Cd 0.996 0.512 0.496  0.01
O 0.784 0.218 0.214  -0.04
O 0.239 0.239 0.283  0.00
Cr 0.997 0.997 0.009  3.00
O 0.761 0.761 0.717  -0.01
O 0.756 0.232 0.781  -0.01
Pa 0.363 0.363 0.911  0.02

=====

# 10
PaCrCd2O6 | GGA+U | relaxed

Size of the total moment ... 2.98 μB per formula unit
Final energy ... -0.2473 Ha/atom

Cell lengths 4.308, 5.835, 5.835 Å; angles 90.00, 90.00, 90.00 degrees
Each line ends with the local moment (μB).
Fractional positions:
Cd 0.998 0.500 0.000  0.02
Cr 0.664 0.000 0.000  2.93
O 0.702 0.241 0.759  -0.02
O 0.702 0.759 0.241  -0.02
Pa 0.642 0.500 0.500  0.01
O 0.702 0.759 0.759  -0.02
O 0.185 0.000 0.000  -0.09
O 0.702 0.241 0.241  -0.02
O 0.153 0.500 0.500  0.01
Cd 0.998 0.000 0.500  0.02

=====

# 11
CrCdPbO4 | GGA+U | relaxed

Size of the total moment ... 2.35 μB per formula unit
Final energy ... -0.2141 Ha/atom

Cell lengths 6.365, 6.609, 6.609 Å; angles 60.69, 61.21, 61.21 degrees
Each line ends with the local moment (μB).
Fractional positions:
O 0.249 0.206 0.297  -0.11
O 0.751 0.794 0.703  -0.11
Cr 0.000 0.000 0.500  2.96
O 0.751 0.203 0.294  -0.11
O 0.787 0.214 0.714  -0.14
O 0.213 0.786 0.286  -0.14
Cd 0.374 0.376 0.876  0.01
Pb 0.000 0.500 0.500  -0.13
O 0.249 0.797 0.706  -0.11
O 0.285 0.214 0.714  -0.14
Cr 0.500 0.000 0.500  2.96
Cd 0.626 0.624 0.124  0.01
Pb 0.000 0.000 0.000  -0.13
O 0.715 0.786 0.286  -0.14

=====

# 12
Cr2Cd2PdO6 | GGA+U | relaxed

Size of the total moment ... 4.00 μB per formula unit
Final energy ... -0.2104 Ha/atom

Cell lengths 6.707, 6.707, 4.917 Å; angles 85.32, 85.32, 125.79 degrees
Each line ends with the local moment (μB).
Fractional positions:
Cd 0.834 0.166 0.000  0.02
O 0.148 0.543 0.763  -0.06
O 0.852 0.457 0.237  -0.06
O 0.457 0.852 0.237  -0.06
O 0.335 0.335 0.380  -0.07
Cd 0.166 0.834 0.000  0.02
O 0.665 0.665 0.620  -0.07
O 0.543 0.148 0.763  -0.06
Pd 0.000 0.000 0.500  -0.04
Cr 0.618 0.382 0.500  2.13
Cr 0.382 0.618 0.500  2.13